Entry from Alexandria via LeMat-Bulk: a geometry-optimized AgTeF2 structure (PBE). Values from VASP.

Raw total energy = -3.2071 eV per atom
E above lowest polymorph = 222 meV per atom
ρ = 6.4 g/cm3
DOS at the Fermi energy = 3.198 states/eV per cell
Space group = No. 122

Geometry as Quantum ESPRESSO input:
```
&SYSTEM
  ibrav = 0, nat = 8, ntyp = 3
/
ATOMIC_SPECIES
Ag 107.87 Ag.upf
Te 127.60 Te.upf
F 19.00 F.upf
CELL_PARAMETERS angstrom
-3.5973 3.5973 2.7592
3.5973 -3.5973 2.7592
3.5973 3.5973 -2.7592
ATOMIC_POSITIONS angstrom
Ag 0.0000 0.0000 0.0000
Ag 0.0000 3.5973 1.3796
Te 3.5973 0.0000 1.3796
Te 0.0000 0.0000 2.7592
F 1.7986 -1.4252 2.0694
F 2.1721 1.7986 0.6898
F 1.7986 5.0224 -0.6898
F 1.4252 1.7986 3.4490
```

=====

Entry from Alexandria via LeMat-Bulk: a geometry-optimized MgAsCl2 structure (PBE). Values from VASP.

Raw total energy = -2.6285 eV per atom
E above lowest polymorph = 743 meV per atom
ρ = 3.4 g/cm3
DOS at the Fermi energy = 1.907 states/eV per cell
Space group = No. 65

Geometry as Quantum ESPRESSO input:
```
&SYSTEM
  ibrav = 0, nat = 4, ntyp = 3
/
ATOMIC_SPECIES
Mg 24.30 Mg.upf
As 74.92 As.upf
Cl 35.45 Cl.upf
CELL_PARAMETERS angstrom
3.0640 -4.0824 0.0000
3.0640 4.0824 0.0000
0.0000 0.0000 3.3616
ATOMIC_POSITIONS angstrom
Mg 0.0000 0.0000 0.0000
As 3.0640 0.0000 0.0000
Cl 1.5320 2.0412 1.6808
Cl 1.5320 -2.0412 1.6808
```